No. 1
# Rb3Cd3Hg | Alexandria | PBE-GGA | optimized geometry
# - Total moment: 0.00 μB/atom
# - Formation enthalpy at 0 K: -9 kJ/mol of atoms
# - Total energy: -6.597 eV per formula unit
data_Rb3Cd3Hg
_space_group_name_H-M_alt 'C 1 2/m 1'
_space_group_IT_number 12
_space_group_name_Hall '-C 2y'
_cell_length_a 13.0242
_cell_length_b 5.4408
_cell_length_c 17.8000
_cell_angle_alpha 90.00
_cell_angle_beta 111.31
_cell_angle_gamma 90.00
loop_
_atom_site_label
_atom_site_fract_x
_atom_site_fract_y
_atom_site_fract_z
Rb1 0.0316 0.0000 0.3836
Rb2 0.1123 0.0000 0.9233
Rb3 0.2395 0.5000 0.7628
Cd1 0.0566 0.5000 0.2348
Cd2 0.0929 0.5000 0.0789
Cd3 0.1353 0.5000 0.5323
Hg1 0.2438 0.5000 0.3994


No. 2
# Cs8Na6Cd | Alexandria | PBE-GGA | optimized geometry
# - Total moment: 0.00 μB/atom
# - Formation enthalpy at 0 K: 6 kJ/mol of atoms
# - Total energy: -14.748 eV per formula unit
data_Cs8Na6Cd
_space_group_name_H-M_alt 'R -3'
_space_group_IT_number 148
_space_group_name_Hall '-R 3'
_cell_length_a 12.8463
_cell_length_b 12.8463
_cell_length_c 24.9260
_cell_angle_alpha 90.00
_cell_angle_beta 90.00
_cell_angle_gamma 120.00
loop_
_atom_site_label
_atom_site_fract_x
_atom_site_fract_y
_atom_site_fract_z
Cs1 0.0000 0.0000 0.1804
Cs2 0.0163 0.7597 0.6053
Na1 0.0009 0.3804 0.5502
Cd1 0.0000 0.0000 0.5000


No. 3
# NaLa2W | Alexandria | PBE-GGA | optimized geometry
# - Total moment: 0.00 μB/atom
# - Formation enthalpy at 0 K: 57 kJ/mol of atoms
# - Total energy: -21.752 eV per formula unit
# - Energy above the most stable polymorph in this dataset: 0.0000 eV/atom
data_NaLa2W
_space_group_name_H-M_alt 'F m -3 m'
_space_group_IT_number 225
_space_group_name_Hall '-F 4 2 3'
_cell_length_a 7.4644
_cell_length_b 7.4644
_cell_length_c 7.4644
_cell_angle_alpha 90.00
_cell_angle_beta 90.00
_cell_angle_gamma 90.00
loop_
_atom_site_label
_atom_site_fract_x
_atom_site_fract_y
_atom_site_fract_z
Na1 0.0000 0.0000 0.0000
La1 0.2500 0.2500 0.2500
W1 0.0000 0.0000 0.5000


No. 4
# NiIrPt2 | Alexandria | PBE-GGA | optimized geometry
# - Total moment: 0.13 μB/atom
# - Formation enthalpy at 0 K: 22 kJ/mol of atoms
# - Total energy: -25.817 eV per formula unit
# - Energy above the most stable polymorph in this dataset: 0.2509 eV/atom
data_NiIrPt2
_space_group_name_H-M_alt 'F -4 3 m'
_space_group_IT_number 216
_space_group_name_Hall 'F -4 2 3'
_cell_length_a 6.1562
_cell_length_b 6.1562
_cell_length_c 6.1562
_cell_angle_alpha 90.00
_cell_angle_beta 90.00
_cell_angle_gamma 90.00
loop_
_atom_site_label
_atom_site_fract_x
_atom_site_fract_y
_atom_site_fract_z
Ni1 0.0000 0.0000 0.0000
Ir1 0.2500 0.2500 0.2500
Pt1 0.0000 0.0000 0.5000
Pt2 0.2500 0.2500 0.7500


No. 5
# Pr8Sm3Cd | Alexandria | PBE-GGA | optimized geometry
# - Total moment: 0.00 μB/atom
# - Formation enthalpy at 0 K: 0 kJ/mol of atoms
# - Total energy: -53.287 eV per formula unit
data_Pr8Sm3Cd
_space_group_name_H-M_alt 'C 1 m 1'
_space_group_IT_number 8
_space_group_name_Hall 'C -2y'
_cell_length_a 17.0391
_cell_length_b 5.7918
_cell_length_c 10.0387
_cell_angle_alpha 90.00
_cell_angle_beta 122.59
_cell_angle_gamma 90.00
loop_
_atom_site_label
_atom_site_fract_x
_atom_site_fract_y
_atom_site_fract_z
Pr1 0.0000 0.0000 0.0000
Pr2 0.0105 0.5000 0.5557
Pr3 0.1150 0.5000 0.0046
Pr4 0.1563 0.0000 0.8377
Pr5 0.2057 0.5000 0.4319
Pr6 0.2677 0.5000 0.8481
Pr7 0.3500 0.0000 0.7116
Pr8 0.3641 0.5000 0.2734
Sm1 0.0947 0.0000 0.4218
Sm2 0.2476 0.0000 0.2669
Sm3 0.4314 0.0000 0.1367
Cd1 0.4310 0.5000 0.6356


No. 6
# CdGa2S | Alexandria | PBE-GGA | optimized geometry
# - Total moment: 0.00 μB/atom
# - Formation energy without anion corrections: 0.098 eV per atom
# - Total energy: -10.706 eV per formula unit
# - Energy above the most stable polymorph in this dataset: 0.1677 eV/atom
data_CdGa2S
_space_group_name_H-M_alt 'F m -3 m'
_space_group_IT_number 225
_space_group_name_Hall '-F 4 2 3'
_cell_length_a 7.0346
_cell_length_b 7.0346
_cell_length_c 7.0346
_cell_angle_alpha 90.00
_cell_angle_beta 90.00
_cell_angle_gamma 90.00
loop_
_atom_site_label
_atom_site_fract_x
_atom_site_fract_y
_atom_site_fract_z
Cd1 0.0000 0.0000 0.0000
Ga1 0.2500 0.2500 0.2500
S1 0.0000 0.0000 0.5000